1.
The following is a GGA-PBE calculation of a relaxed structure of Y2NpUN4, from Alexandria.

Output
Crystal system: monoclinic
M_tot, μB/cell: 4.6
Formation energy without anion corrections, eV/atom: -1.45
E_tot, eV/f.u.: -82.0

Cell lengths 5.969, 3.450, 6.026 Å; angles 90.00, 109.30, 90.00 degrees
Fractional coordinates of all 8 atoms:
Y (0.000, 0.000, 0.000)
Y (0.500, 0.500, 0.000)
Np (0.000, 0.500, 0.500)
U (0.500, 0.000, 0.500)
N (0.251, 0.000, 0.737)
N (0.259, 0.500, 0.263)
N (0.741, 0.500, 0.737)
N (0.749, 0.000, 0.263)



2.
The following is a GGA-PBE calculation of a relaxed structure of HoGa3Rh2, from Alexandria.

Output
Crystal system: monoclinic
M_tot, μB/cell: 0.0
E_tot, eV/f.u.: -32.5
Energy of formation from the pure elements, meV per atom: -684

Cell lengths 8.556, 8.556, 9.813 Å; angles 107.25, 107.25, 27.76 degrees
Fractional coordinates of all 18 atoms:
Ho (0.000, 0.000, 0.000)
Ho (0.165, 0.165, 0.708)
Ho (0.835, 0.835, 0.292)
Ga (0.042, 0.042, 0.353)
Ga (0.216, 0.216, 0.388)
Ga (0.329, 0.329, 0.046)
Ga (0.375, 0.375, 0.805)
Ga (0.500, 0.500, 0.500)
Ga (0.625, 0.625, 0.195)
Ga (0.671, 0.671, 0.954)
Ga (0.784, 0.784, 0.612)
Ga (0.958, 0.958, 0.647)
Rh (0.193, 0.193, 0.117)
Rh (0.363, 0.363, 0.544)
Rh (0.474, 0.474, 0.220)
Rh (0.526, 0.526, 0.780)
Rh (0.637, 0.637, 0.456)
Rh (0.807, 0.807, 0.883)



3.
The following is a GGA-PBE calculation of a relaxed structure of FeHgPH, from Alexandria.

Output
Crystal system: triclinic
M_tot, μB/cell: 0.0
E_tot, eV/f.u.: -17.2
Relative energy among the computed polymorphs, eV per formula unit: 0.12

Cell lengths 2.910, 3.306, 6.308 Å; angles 94.38, 91.10, 114.97 degrees
Fractional coordinates of all 4 atoms:
Fe (0.000, 0.000, 0.000)
Hg (0.814, 0.610, 0.594)
P (0.717, 0.432, 0.186)
H (0.463, 0.934, 0.867)



4.
The following is a GGA-PBE calculation of a relaxed structure of Sr2ZnGaAu6, from Alexandria.

Output
Crystal system: triclinic
M_tot, μB/cell: 0.0
E_tot, eV/f.u.: -32.1
Energy of formation from the pure elements, meV per atom: -475

Cell lengths 6.917, 6.939, 7.038 Å; angles 119.49, 90.24, 119.50 degrees
Fractional coordinates of all 10 atoms:
Sr (0.219, 0.437, 0.156)
Sr (0.781, 0.563, 0.844)
Zn (0.500, 0.000, 0.000)
Ga (0.000, 0.000, 0.500)
Au (0.243, 0.907, 0.662)
Au (0.256, 0.499, 0.670)
Au (0.333, 0.080, 0.334)
Au (0.667, 0.920, 0.666)
Au (0.744, 0.501, 0.330)
Au (0.757, 0.093, 0.338)



5.
The following is a GGA-PBE calculation of a relaxed structure of LaTiSb2, from Alexandria.

Output
Crystal system: tetragonal
M_tot, μB/cell: 1.8
Formation energy without anion corrections, eV/atom: -0.54
E_tot, eV/f.u.: -23.2
Relative energy among the computed polymorphs, eV per formula unit: 0.89

Cell lengths 4.324, 4.324, 12.580 Å; angles 90.00, 90.00, 90.00 degrees
Fractional coordinates of all 8 atoms:
La (0.000, 0.000, 0.000)
La (0.500, 0.500, 0.500)
Ti (0.000, 0.500, 0.750)
Ti (0.500, 0.000, 0.250)
Sb (0.000, 0.000, 0.375)
Sb (0.000, 0.000, 0.625)
Sb (0.500, 0.500, 0.125)
Sb (0.500, 0.500, 0.875)



6.
The following is a GGA-PBE calculation of a relaxed structure of K3Pu3NbS8, from Alexandria.

Output
Crystal system: monoclinic
M_tot, μB/cell: 5.6
Formation energy without anion corrections, eV/atom: -1.43
E_tot, eV/f.u.: -110.8

Cell lengths 7.940, 7.940, 8.770 Å; angles 116.68, 116.68, 60.12 degrees
Fractional coordinates of all 15 atoms:
K (0.000, 0.000, 0.000)
K (0.000, 0.500, 0.000)
K (0.500, 0.000, 0.000)
Pu (0.000, 0.500, 0.500)
Pu (0.500, 0.000, 0.500)
Pu (0.500, 0.500, 0.500)
Nb (0.000, 0.000, 0.500)
S (0.217, 0.755, 0.689)
S (0.219, 0.219, 0.689)
S (0.245, 0.783, 0.311)
S (0.264, 0.264, 0.295)
S (0.736, 0.736, 0.705)
S (0.755, 0.217, 0.689)
S (0.781, 0.781, 0.311)
S (0.783, 0.245, 0.311)



7.
The following is a GGA-PBE calculation of a relaxed structure of SrTe2H, from Alexandria.

Output
Crystal system: cubic
M_tot, μB/cell: 3.5
E_tot, eV/f.u.: -11.5
Relative energy among the computed polymorphs, eV per formula unit: 1.94

Cell lengths 7.743, 7.743, 7.743 Å; angles 90.00, 90.00, 90.00 degrees
Fractional coordinates of all 16 atoms:
Sr (0.000, 0.000, 0.000)
Sr (0.000, 0.500, 0.500)
Sr (0.500, 0.000, 0.500)
Sr (0.500, 0.500, 0.000)
Te (0.250, 0.250, 0.250)
Te (0.250, 0.250, 0.750)
Te (0.250, 0.750, 0.250)
Te (0.250, 0.750, 0.750)
Te (0.750, 0.250, 0.250)
Te (0.750, 0.250, 0.750)
Te (0.750, 0.750, 0.250)
Te (0.750, 0.750, 0.750)
H (0.000, 0.000, 0.500)
H (0.000, 0.500, 0.000)
H (0.500, 0.000, 0.000)
H (0.500, 0.500, 0.500)



8.
The following is a GGA-PBE calculation of a relaxed structure of Pm10Bi3Sb3, from Alexandria.

Output
Crystal system: hexagonal
M_tot, μB/cell: 1.1
Formation energy without anion corrections, eV/atom: -0.87
E_tot, eV/f.u.: -85.4

Cell lengths 9.354, 9.354, 6.513 Å; angles 90.00, 90.00, 120.00 degrees
Fractional coordinates of all 16 atoms:
Pm (0.000, 0.248, 0.000)
Pm (0.000, 0.752, 0.500)
Pm (0.248, 0.000, 0.000)
Pm (0.248, 0.248, 0.500)
Pm (0.333, 0.667, 0.246)
Pm (0.333, 0.667, 0.754)
Pm (0.667, 0.333, 0.246)
Pm (0.667, 0.333, 0.754)
Pm (0.752, 0.000, 0.500)
Pm (0.752, 0.752, 0.000)
Bi (0.000, 0.389, 0.500)
Bi (0.389, 0.000, 0.500)
Bi (0.611, 0.611, 0.500)
Sb (0.000, 0.614, 0.000)
Sb (0.386, 0.386, 0.000)
Sb (0.614, 0.000, 0.000)



9.
The following is a GGA-PBE calculation of a relaxed structure of TcH3Pb, from Alexandria.

Output
Crystal system: cubic
M_tot, μB/cell: 3.9
E_tot, eV/f.u.: -17.1

Cell lengths 4.096, 4.096, 4.096 Å; angles 90.00, 90.00, 90.00 degrees
Fractional coordinates of all 5 atoms:
Tc (0.000, 0.000, 0.000)
H (0.000, 0.500, 0.500)
H (0.500, 0.000, 0.500)
H (0.500, 0.500, 0.000)
Pb (0.500, 0.500, 0.500)



10.
The following is a GGA-PBE calculation of a relaxed structure of Li2TiPb2, from Alexandria.

Output
Crystal system: tetragonal
M_tot, μB/cell: 0.0
E_tot, eV/f.u.: -19.2
Energy of formation from the pure elements, meV per atom: -6
Relative energy among the computed polymorphs, eV per formula unit: 0.00

Cell lengths 8.004, 8.004, 3.262 Å; angles 90.00, 90.00, 90.00 degrees
Fractional coordinates of all 10 atoms:
Li (0.129, 0.371, 0.000)
Li (0.371, 0.871, 0.000)
Li (0.629, 0.129, 0.000)
Li (0.871, 0.629, 0.000)
Ti (0.000, 0.000, 0.500)
Ti (0.500, 0.500, 0.500)
Pb (0.171, 0.671, 0.500)
Pb (0.329, 0.171, 0.500)
Pb (0.671, 0.829, 0.500)
Pb (0.829, 0.329, 0.500)



11.
The following is a GGA-PBE calculation of a relaxed structure of Ca2ReRu2, from Alexandria.

Output
Crystal system: tetragonal
M_tot, μB/cell: 3.8
E_tot, eV/f.u.: -29.4
Energy of formation from the pure elements, meV per atom: 1117
Relative energy among the computed polymorphs, eV per formula unit: 4.66

Cell lengths 8.122, 8.122, 2.800 Å; angles 90.00, 90.00, 90.00 degrees
Fractional coordinates of all 10 atoms:
Ca (0.122, 0.378, 0.000)
Ca (0.378, 0.878, 0.000)
Ca (0.622, 0.122, 0.000)
Ca (0.878, 0.622, 0.000)
Re (0.000, 0.000, 0.000)
Re (0.500, 0.500, 0.000)
Ru (0.186, 0.686, 0.500)
Ru (0.314, 0.186, 0.500)
Ru (0.686, 0.814, 0.500)
Ru (0.814, 0.314, 0.500)



12.
The following is a GGA-PBE calculation of a relaxed structure of Pr3Dy4Ho5, from Alexandria.

Output
Crystal system: monoclinic
M_tot, μB/cell: 0.2
E_tot, eV/f.u.: -52.3
Energy of formation from the pure elements, meV per atom: 281
Relative energy among the computed polymorphs, eV per formula unit: 3.15

Cell lengths 9.498, 9.498, 8.661 Å; angles 115.75, 115.75, 35.18 degrees
Fractional coordinates of all 12 atoms:
Pr (0.000, 0.000, 0.000)
Pr (0.314, 0.314, 0.784)
Pr (0.686, 0.686, 0.216)
Dy (0.296, 0.296, 0.346)
Dy (0.469, 0.469, 0.308)
Dy (0.531, 0.531, 0.692)
Dy (0.704, 0.704, 0.654)
Ho (0.103, 0.103, 0.434)
Ho (0.155, 0.155, 0.880)
Ho (0.500, 0.500, 0.000)
Ho (0.845, 0.845, 0.120)
Ho (0.897, 0.897, 0.566)



> Among the records above, which one has the highest M_tot?

K3Pu3NbS8



> Look up the M_tot of the second one.

0.0 μB/cell



> Among the records above, which one has the highest M_tot?

K3Pu3NbS8



> Look up the E_tot of the third one.

-17.2 eV/f.u.